(1)
Compound: Dy12Re5C15
Source: the Alexandria database
Functional: meta-GGA SCAN
Structure: PBEsol geometry

Cell: 5.0342 10.6214 10.6214 Å, 120.00 90.00 90.00°
With the nearest neighbours (Å) after each atom.
Positions (direct):
Dy: 0.5000 0.0000 0.7952  4 C 2.49-2.52
Dy: 0.5000 0.0000 0.4272  8 C 2.54-2.79
Dy: 0.5000 0.7952 0.0000  4 C 2.49-2.52
Dy: 0.5000 0.2048 0.2048  4 C 2.49-2.52
Dy: 0.0000 0.7299 0.1866  5 C 2.32-2.54
Dy: 0.0000 0.5434 0.8134  5 C 2.32-2.54
Dy: 0.0000 0.4566 0.2701  5 C 2.32-2.54
Dy: 0.0000 0.2701 0.4566  5 C 2.32-2.54
Dy: 0.5000 0.5728 0.5728  8 C 2.54-2.79
Dy: 0.0000 0.8134 0.5434  5 C 2.32-2.54
Dy: 0.5000 0.4272 0.0000  8 C 2.54-2.79
Dy: 0.0000 0.1866 0.7299  5 C 2.32-2.54
C: 0.5000 0.1872 0.7201  1 Re 1.90
C: 0.0000 0.0000 0.7842  2 Re 2.04
C: 0.0000 0.6666 0.6666  1 C 1.35
C: 0.5000 0.8128 0.5328  1 Re 1.90
C: 0.0000 0.3334 0.0000  1 C 1.35
C: 0.5000 0.5328 0.8128  1 Re 1.90
C: 0.0000 0.2158 0.2158  2 Re 2.04
C: 0.0000 0.4608 0.0000  1 C 1.35
C: 0.5000 0.4672 0.2799  1 Re 1.90
C: 0.0000 0.5392 0.5392  1 C 1.35
C: 0.5000 0.7201 0.1872  1 Re 1.90
C: 0.5000 0.2799 0.4672  1 Re 1.90
C: 0.0000 0.0000 0.4608  1 C 1.35
C: 0.0000 0.0000 0.3334  1 C 1.35
C: 0.0000 0.7842 0.0000  2 Re 2.04
Re: 0.0000 0.8480 0.8480  3 C 1.93-2.04
Re: 0.5000 0.6667 0.3333  3 C 1.90
Re: 0.5000 0.3333 0.6667  3 C 1.90
Re: 0.0000 0.0000 0.1520  3 C 1.93-2.04
Re: 0.0000 0.1520 0.0000  3 C 1.93-2.04

Results
Formation enthalpy at 0 K in eV/atom: -0.4746
Calculated volume in Å³/cell: 492
Uncorrected energy in eV/atom: -34.24



(2)
Compound: Dy2ReC2
Source: the Alexandria database
Functional: meta-GGA SCAN
Structure: PBEsol geometry

Cell: 5.0567 6.5094 9.7454 Å, 90.00 90.00 90.00°
With the nearest neighbours (Å) after each atom.
Positions (direct):
Dy: 0.2500 0.9680 0.7154  4 C 2.49-2.65
Dy: 0.7500 0.1795 0.9445  5 C 2.47-2.54
Dy: 0.7500 0.0320 0.2846  4 C 2.49-2.65
Dy: 0.2500 0.3205 0.4445  5 C 2.47-2.54
Dy: 0.2500 0.8205 0.0555  5 C 2.47-2.54
Dy: 0.7500 0.6795 0.5555  5 C 2.47-2.54
Dy: 0.7500 0.5320 0.2154  4 C 2.49-2.65
Dy: 0.2500 0.4680 0.7846  4 C 2.49-2.65
C: 0.7500 0.9528 0.7412  2 Re 1.95-2.03
C: 0.2500 0.0472 0.2588  2 Re 1.95-2.03
C: 0.2500 0.1754 0.9488  1 Re 1.92
C: 0.7500 0.4528 0.7588  2 Re 1.95-2.03
C: 0.7500 0.3246 0.4488  1 Re 1.92
C: 0.2500 0.5472 0.2412  2 Re 1.95-2.03
C: 0.7500 0.8246 0.0512  1 Re 1.92
C: 0.2500 0.6754 0.5512  1 Re 1.92
Re: 0.2500 0.2807 0.1332  3 C 1.92-2.03
Re: 0.7500 0.7193 0.8668  3 C 1.92-2.03
Re: 0.7500 0.2193 0.6332  3 C 1.92-2.03
Re: 0.2500 0.7807 0.3668  3 C 1.92-2.03

Results
Formation enthalpy at 0 K in eV/atom: -0.5272
Calculated volume in Å³/cell: 321
Uncorrected energy in eV/atom: -37.91



(3)
Compound: DyRh3C
Source: the Alexandria database
Functional: meta-GGA SCAN
Structure: PBEsol geometry

Cell: 4.1166 4.1166 4.1166 Å, 90.00 90.00 90.00°
With the nearest neighbours (Å) after each atom.
Positions (direct):
Rh: 0.5000 0.5000 0.0000  2 C 2.06
Rh: 0.0000 0.5000 0.5000  2 C 2.06
Rh: 0.5000 0.0000 0.5000  2 C 2.06
C: 0.5000 0.5000 0.5000  6 Rh 2.06
Dy: 0.0000 0.0000 0.0000  12 Rh 2.91

Results
Formation enthalpy at 0 K in eV/atom: -0.5841
Calculated volume in Å³/cell: 70
Uncorrected energy in eV/atom: -32.43



Copy entry 1 word for word.
Compound: Dy12Re5C15
Source: the Alexandria database
Functional: meta-GGA SCAN
Structure: PBEsol geometry

Cell: 5.0342 10.6214 10.6214 Å, 120.00 90.00 90.00°
With the nearest neighbours (Å) after each atom.
Positions (direct):
Dy: 0.5000 0.0000 0.7952  4 C 2.49-2.52
Dy: 0.5000 0.0000 0.4272  8 C 2.54-2.79
Dy: 0.5000 0.7952 0.0000  4 C 2.49-2.52
Dy: 0.5000 0.2048 0.2048  4 C 2.49-2.52
Dy: 0.0000 0.7299 0.1866  5 C 2.32-2.54
Dy: 0.0000 0.5434 0.8134  5 C 2.32-2.54
Dy: 0.0000 0.4566 0.2701  5 C 2.32-2.54
Dy: 0.0000 0.2701 0.4566  5 C 2.32-2.54
Dy: 0.5000 0.5728 0.5728  8 C 2.54-2.79
Dy: 0.0000 0.8134 0.5434  5 C 2.32-2.54
Dy: 0.5000 0.4272 0.0000  8 C 2.54-2.79
Dy: 0.0000 0.1866 0.7299  5 C 2.32-2.54
C: 0.5000 0.1872 0.7201  1 Re 1.90
C: 0.0000 0.0000 0.7842  2 Re 2.04
C: 0.0000 0.6666 0.6666  1 C 1.35
C: 0.5000 0.8128 0.5328  1 Re 1.90
C: 0.0000 0.3334 0.0000  1 C 1.35
C: 0.5000 0.5328 0.8128  1 Re 1.90
C: 0.0000 0.2158 0.2158  2 Re 2.04
C: 0.0000 0.4608 0.0000  1 C 1.35
C: 0.5000 0.4672 0.2799  1 Re 1.90
C: 0.0000 0.5392 0.5392  1 C 1.35
C: 0.5000 0.7201 0.1872  1 Re 1.90
C: 0.5000 0.2799 0.4672  1 Re 1.90
C: 0.0000 0.0000 0.4608  1 C 1.35
C: 0.0000 0.0000 0.3334  1 C 1.35
C: 0.0000 0.7842 0.0000  2 Re 2.04
Re: 0.0000 0.8480 0.8480  3 C 1.93-2.04
Re: 0.5000 0.6667 0.3333  3 C 1.90
Re: 0.5000 0.3333 0.6667  3 C 1.90
Re: 0.0000 0.0000 0.1520  3 C 1.93-2.04
Re: 0.0000 0.1520 0.0000  3 C 1.93-2.04

Results
Formation enthalpy at 0 K in eV/atom: -0.4746
Calculated volume in Å³/cell: 492
Uncorrected energy in eV/atom: -34.24